DFT (GGA-PBE) results for a geometry-optimized GdCoSn structure. Values from VASP.

Quantum ESPRESSO input file:
```
&SYSTEM
  ibrav = 0, nat = 6, ntyp = 3
/
ATOMIC_SPECIES
Gd 157.25 Gd.upf
Co 58.93 Co.upf
Sn 118.71 Sn.upf
CELL_PARAMETERS angstrom
4.528 0.000 0.000
-2.264 3.921 0.000
0.000 0.000 7.000
ATOMIC_POSITIONS angstrom
Gd 0.000 0.000 0.000
Gd 0.000 0.000 3.500
Co 0.000 2.614 1.750
Co 2.264 1.307 5.250
Sn 0.000 2.614 5.250
Sn 2.264 1.307 1.750
```

Properties
total energy: -5.669 eV/atom
SG: P6_3/mmc

=====

DFT (GGA-PBE) results for a geometry-optimized Sr2LiHg2N3 structure. Values from VASP.

Quantum ESPRESSO input file:
```
&SYSTEM
  ibrav = 0, nat = 16, ntyp = 4
/
ATOMIC_SPECIES
Sr 87.62 Sr.upf
Li 6.94 Li.upf
Hg 200.59 Hg.upf
N 14.01 N.upf
CELL_PARAMETERS angstrom
3.594 -6.171 0.000
3.594 6.171 0.000
-1.693 0.000 6.773
ATOMIC_POSITIONS angstrom
Sr 0.989 0.553 2.748
Sr 0.142 -0.553 6.134
Sr 5.352 0.553 0.639
Sr 4.506 -0.553 4.025
Li 3.170 4.136 1.693
Li 2.324 -4.136 5.080
Hg 1.421 2.633 6.148
Hg 3.227 2.633 4.011
Hg 2.267 -2.633 2.762
Hg 4.074 -2.633 0.625
N 1.282 4.700 6.626
N 3.366 4.700 3.533
N 2.324 0.893 5.080
N 3.170 -0.893 1.693
N 2.129 -4.700 3.240
N 4.212 -4.700 0.147
```

Properties
total energy: -3.888 eV/atom
SG: C2/c

=====

DFT (GGA-PBE) results for a geometry-optimized NaSmCoS3 structure. Values from VASP.

Quantum ESPRESSO input file:
```
&SYSTEM
  ibrav = 0, nat = 12, ntyp = 4
/
ATOMIC_SPECIES
Na 22.99 Na.upf
Sm 150.36 Sm.upf
Co 58.93 Co.upf
S 32.06 S.upf
CELL_PARAMETERS angstrom
1.962 -6.367 0.000
1.962 6.367 0.000
0.000 0.000 10.712
ATOMIC_POSITIONS angstrom
Na 1.962 3.209 8.034
Na 1.962 -3.209 2.678
Sm 0.000 0.000 0.000
Sm 0.000 0.000 5.356
Co 1.962 0.354 2.678
Co 1.962 -0.354 8.034
S 1.962 5.419 2.678
S 1.962 1.731 0.901
S 1.962 1.731 4.455
S 1.962 -1.731 6.257
S 1.962 -1.731 9.811
S 1.962 -5.419 8.034
```

Properties
energy relative to the lowest polymorph listed for this composition: 0.023 eV per atom
SG: Cmcm

=====

DFT (GGA-PBE) results for a geometry-optimized PrHoTe3 structure. Values from VASP.

Quantum ESPRESSO input file:
```
&SYSTEM
  ibrav = 0, nat = 10, ntyp = 3
/
ATOMIC_SPECIES
Pr 140.91 Pr.upf
Ho 164.93 Ho.upf
Te 127.60 Te.upf
CELL_PARAMETERS angstrom
2.164 -7.107 0.000
2.164 7.107 0.000
0.000 0.000 10.846
ATOMIC_POSITIONS angstrom
Pr 2.164 3.563 8.135
Pr 2.164 -3.563 2.712
Ho 2.164 0.000 0.000
Ho 2.164 0.000 5.423
Te 2.164 5.031 0.681
Te 2.164 5.031 4.742
Te 2.164 1.235 2.712
Te 2.164 -1.235 8.135
Te 2.164 -5.031 6.104
Te 2.164 -5.031 10.165
```

Properties
total energy: -5.177 eV/atom
SG: Cmcm

=====

DFT (GGA-PBE) results for a geometry-optimized ZnFeCuAu structure. Values from VASP.

Quantum ESPRESSO input file:
```
&SYSTEM
  ibrav = 0, nat = 4, ntyp = 4
/
ATOMIC_SPECIES
Zn 65.41 Zn.upf
Fe 55.84 Fe.upf
Cu 63.55 Cu.upf
Au 196.97 Au.upf
CELL_PARAMETERS angstrom
0.000 3.056 3.056
3.056 0.000 3.056
3.056 3.056 0.000
ATOMIC_POSITIONS angstrom
Zn 0.000 0.000 0.000
Fe 3.056 3.056 3.056
Cu 1.528 1.528 1.528
Au 4.583 4.583 4.583
```

Properties
energy of formation from the pure elements: 0.06 eV per atom
energy relative to the lowest polymorph listed for this composition: 0.000 eV per atom
SG: F-43m

=====

DFT (GGA-PBE) results for a geometry-optimized LuSc2PbC structure. Values from VASP.

Quantum ESPRESSO input file:
```
&SYSTEM
  ibrav = 0, nat = 5, ntyp = 4
/
ATOMIC_SPECIES
Lu 174.97 Lu.upf
Sc 44.96 Sc.upf
Pb 207.20 Pb.upf
C 12.01 C.upf
CELL_PARAMETERS angstrom
4.785 0.000 0.000
0.000 4.785 0.000
0.000 0.000 4.785
ATOMIC_POSITIONS angstrom
Lu 0.000 0.000 0.000
Sc 0.000 2.392 2.392
Sc 2.392 0.000 2.392
Pb 2.392 2.392 0.000
C 0.000 0.000 2.392
```

Properties
total energy: -6.607 eV/atom
SG: P4/mmm

=====

DFT (GGA-PBE) results for a geometry-optimized HfInCu3Se4 structure. Values from VASP.

Quantum ESPRESSO input file:
```
&SYSTEM
  ibrav = 0, nat = 9, ntyp = 4
/
ATOMIC_SPECIES
Hf 178.49 Hf.upf
In 114.82 In.upf
Cu 63.55 Cu.upf
Se 78.96 Se.upf
CELL_PARAMETERS angstrom
6.178 0.000 0.000
0.000 6.178 0.000
0.000 0.000 6.178
ATOMIC_POSITIONS angstrom
Hf 0.000 0.000 0.000
In 3.089 3.089 3.089
Cu 0.000 0.000 3.089
Cu 0.000 3.089 0.000
Cu 3.089 0.000 0.000
Se 1.434 1.434 4.745
Se 1.434 4.745 1.434
Se 4.745 1.434 1.434
Se 4.745 4.745 4.745
```

Properties
total energy: -4.635 eV/atom
SG: P-43m

=====

DFT (GGA-PBE) results for a geometry-optimized LaHgNO structure. Values from VASP.

Quantum ESPRESSO input file:
```
&SYSTEM
  ibrav = 0, nat = 8, ntyp = 4
/
ATOMIC_SPECIES
La 138.91 La.upf
Hg 200.59 Hg.upf
N 14.01 N.upf
O 16.00 O.upf
CELL_PARAMETERS angstrom
4.236 0.000 0.000
0.000 7.092 0.000
0.000 0.000 6.460
ATOMIC_POSITIONS angstrom
La 0.000 1.069 0.000
La 0.000 6.023 3.230
Hg 2.118 3.402 4.187
Hg 2.118 3.690 0.957
N 2.118 2.267 5.892
N 2.118 4.825 2.662
O 0.000 0.836 2.183
O 0.000 6.256 5.413
```

Properties
energy relative to the lowest polymorph listed for this composition: 0.000 eV per atom
SG: Pmc2_1

=====

- Number 1 is which compound?
  GdCoSn